The following is a PBE calculation of an optimized crystal structure of K4B2O5, from the Alexandria database.

Results
The energy comes out at -64.85 eV per cell. Its symmetry is Cm, No. 8. Its total magnetization is 0.00 μB/f.u. The calculation puts the formation energy without anion corrections at -2.028 eV/atom.

a b c (Å): 5.4552 5.4552 7.1557
angles (deg): 102.51 102.51 68.06
Last column: nearest neighbours and their distance in Å.
Fractional coordinates of all 11 atoms:
K: 0.0000 0.0000 0.0000  6 O 2.74-2.91, 1 B 2.95
K: 0.3805 0.3805 0.2675  4 O 2.60-2.66, 1 B 2.89
K: 0.6075 0.6075 0.6931  5 O 2.66-2.97
K: 0.7677 0.7677 0.2712  4 O 2.73-3.03
B: 0.1394 0.1394 0.4646  3 O 1.37-1.46
B: 0.2682 0.2682 0.8384  3 O 1.38-1.46
O: 0.0687 0.4653 0.9292  1 B 1.38
O: 0.2701 0.2701 0.6347  2 B 1.46
O: 0.2836 0.8882 0.3831  1 B 1.37
O: 0.4653 0.0687 0.9292  1 B 1.38
O: 0.8882 0.2836 0.3831  1 B 1.37